Density functional theory data (PBE) for crystalline CdRuN at its relaxed geometry.

Density of states at the Fermi level   2.925 states/eV/cell
ΔE_f (raw)   487 meV per atom
Space group   No. 12

```
data_CdRuN
_cell_length_a 3.1547
_cell_length_b 5.9193
_cell_length_c 5.5521
_cell_angle_alpha 66.35
_cell_angle_beta 73.50
_cell_angle_gamma 74.55
_symmetry_space_group_name_H-M 'P 1'
_symmetry_Int_Tables_number 1
_symmetry_space_group_name_Hall 'P 1'
loop_
_atom_site_label
_atom_site_type_symbol
_atom_site_fract_x
_atom_site_fract_y
_atom_site_fract_z
_atom_site_occupancy
Cd1 Cd 0.6014 0.1926 0.6047 1
N1 N 0.2302 0.3713 0.1682 1
N2 N 0.7698 0.6287 0.8318 1
Ru1 Ru 0.8592 0.2532 0.0284 1
Ru2 Ru 0.1408 0.7468 0.9716 1
Cd2 Cd 0.3986 0.8074 0.3953 1
```



Density functional theory data (PBE) for crystalline Cs2SmReO6 at its relaxed geometry.

Density of states at the Fermi level   0.000 states/eV/cell
ΔE_f (raw)   -2030 meV per atom
Space group   No. 164

```
data_Cs2SmReO6
_cell_length_a 5.9333
_cell_length_b 6.7505
_cell_length_c 6.7505
_cell_angle_alpha 120.00
_cell_angle_beta 90.00
_cell_angle_gamma 90.00
_symmetry_space_group_name_H-M 'P 1'
_symmetry_Int_Tables_number 1
_symmetry_space_group_name_Hall 'P 1'
loop_
_atom_site_label
_atom_site_type_symbol
_atom_site_fract_x
_atom_site_fract_y
_atom_site_fract_z
_atom_site_occupancy
O1 O 0.8029 0.7404 0.8702 1
Cs1 Cs 0.1260 0.3333 0.6667 1
O2 O 0.1971 0.8702 0.1298 1
O3 O 0.1971 0.2596 0.1298 1
O4 O 0.1971 0.8702 0.7404 1
Cs2 Cs 0.8740 0.6667 0.3333 1
Sm1 Sm 0.5000 0.0000 0.0000 1
O5 O 0.8029 0.1298 0.2596 1
O6 O 0.8029 0.1298 0.8702 1
Re1 Re 0.0000 0.0000 0.0000 1
```